Entry 1:
# Al3MoPt PBE optimized geometry
data_Al3MoPt
_cell_length_a 4.705
_cell_length_b 4.705
_cell_length_c 4.705
_cell_angle_alpha 90.00
_cell_angle_beta 90.00
_cell_angle_gamma 90.00
_symmetry_space_group_name_H-M 'P m -3 m'
_symmetry_Int_Tables_number 221
_symmetry_space_group_name_Hall '-P 4 2 3'
loop_
_atom_site_label
_atom_site_fract_x
_atom_site_fract_y
_atom_site_fract_z
Al1 0.000 0.000 0.500
Mo1 0.500 0.500 0.500
Pt1 0.000 0.000 0.000
# - E_form: 0.453 eV per atom
# - Calculated density: 5.93 Mg/m³
# - ΔE to the lowest computed polymorph: 0 meV/atom
# - Crystal system: cubic
# - Electronic total energy: -5.167 eV per atom
# - DOS at the Fermi energy: 0.682 states/eV per atom

---

Entry 2:
# AlMoPt PBE optimized geometry
data_AlMoPt
_cell_length_a 5.995
_cell_length_b 5.995
_cell_length_c 5.995
_cell_angle_alpha 90.00
_cell_angle_beta 90.00
_cell_angle_gamma 90.00
_symmetry_space_group_name_H-M 'F -4 3 m'
_symmetry_Int_Tables_number 216
_symmetry_space_group_name_Hall 'F -4 2 3'
loop_
_atom_site_label
_atom_site_fract_x
_atom_site_fract_y
_atom_site_fract_z
Al1 0.000 0.000 0.000
Mo1 0.000 0.000 0.500
Pt1 0.250 0.250 0.250
# - E_form: -0.207 eV per atom
# - Calculated density: 9.81 Mg/m³
# - Crystal system: cubic
# - Electronic total energy: -7.079 eV per atom
# - DOS at the Fermi energy: 0.871 states/eV per atom

---

Entry 3:
# Al2MoPt PBE optimized geometry
data_Al2MoPt
_cell_length_a 2.815
_cell_length_b 3.438
_cell_length_c 6.152
_cell_angle_alpha 90.00
_cell_angle_beta 90.00
_cell_angle_gamma 90.00
_symmetry_space_group_name_H-M 'P m m m'
_symmetry_Int_Tables_number 47
_symmetry_space_group_name_Hall '-P 2 2'
loop_
_atom_site_label
_atom_site_fract_x
_atom_site_fract_y
_atom_site_fract_z
Al1 0.000 0.000 0.244
Mo1 0.500 0.500 0.500
Pt1 0.500 0.500 0.000
# - E_form: -0.542 eV per atom
# - Calculated density: 9.62 Mg/m³
# - ΔE to the lowest computed polymorph: 48 meV/atom
# - Crystal system: orthorhombic
# - Electronic total energy: -6.632 eV per atom
# - DOS at the Fermi energy: 0.580 states/eV per atom

---

Entry 4:
# AlMo2Pt PBE optimized geometry
data_AlMo2Pt
_cell_length_a 9.188
_cell_length_b 2.711
_cell_length_c 5.017
_cell_angle_alpha 90.00
_cell_angle_beta 96.34
_cell_angle_gamma 90.00
_symmetry_space_group_name_H-M 'C 1 m 1'
_symmetry_Int_Tables_number 8
_symmetry_space_group_name_Hall 'C -2y'
loop_
_atom_site_label
_atom_site_fract_x
_atom_site_fract_y
_atom_site_fract_z
Al1 0.000 0.000 0.000
Mo1 0.244 0.000 0.717
Mo2 0.484 0.000 0.502
Pt1 0.244 0.500 0.205
# - E_form: -0.232 eV per atom
# - Calculated density: 11.07 Mg/m³
# - Crystal system: monoclinic
# - Electronic total energy: -8.093 eV per atom
# - DOS at the Fermi energy: 0.583 states/eV per atom

---

Entry 5:
# Al2Mo2Pt PBE optimized geometry
data_Al2Mo2Pt
_cell_length_a 7.305
_cell_length_b 7.305
_cell_length_c 3.051
_cell_angle_alpha 90.00
_cell_angle_beta 90.00
_cell_angle_gamma 90.00
_symmetry_space_group_name_H-M 'P 4/m b m'
_symmetry_Int_Tables_number 127
_symmetry_space_group_name_Hall '-P 4 2ab'
loop_
_atom_site_label
_atom_site_fract_x
_atom_site_fract_y
_atom_site_fract_z
Al1 0.185 0.315 0.000
Mo1 0.113 0.613 0.500
Pt1 0.000 0.000 0.500
# - E_form: 0.039 eV per atom
# - Calculated density: 9.00 Mg/m³
# - ΔE to the lowest computed polymorph: 254 meV/atom
# - Crystal system: tetragonal
# - Electronic total energy: -6.998 eV per atom
# - DOS at the Fermi energy: 0.621 states/eV per atom

---

Entry 6:
# AlMo2Pt PBE optimized geometry
data_AlMo2Pt
_cell_length_a 3.742
_cell_length_b 3.769
_cell_length_c 8.662
_cell_angle_alpha 90.00
_cell_angle_beta 90.00
_cell_angle_gamma 90.00
_symmetry_space_group_name_H-M 'I m m m'
_symmetry_Int_Tables_number 71
_symmetry_space_group_name_Hall '-I 2 2'
loop_
_atom_site_label
_atom_site_fract_x
_atom_site_fract_y
_atom_site_fract_z
Al1 0.000 0.000 0.000
Mo1 0.000 0.500 0.250
Pt1 0.000 0.000 0.500
# - E_form: -0.415 eV per atom
# - Calculated density: 11.25 Mg/m³
# - Crystal system: orthorhombic
# - Electronic total energy: -8.277 eV per atom
# - DOS at the Fermi energy: 0.521 states/eV per atom

---

> What is the formula in the sixth record?

AlMo2Pt

---

What did the third record say?
# Al2MoPt PBE optimized geometry
data_Al2MoPt
_cell_length_a 2.815
_cell_length_b 3.438
_cell_length_c 6.152
_cell_angle_alpha 90.00
_cell_angle_beta 90.00
_cell_angle_gamma 90.00
_symmetry_space_group_name_H-M 'P m m m'
_symmetry_Int_Tables_number 47
_symmetry_space_group_name_Hall '-P 2 2'
loop_
_atom_site_label
_atom_site_fract_x
_atom_site_fract_y
_atom_site_fract_z
Al1 0.000 0.000 0.244
Mo1 0.500 0.500 0.500
Pt1 0.500 0.500 0.000
# - E_form: -0.542 eV per atom
# - Calculated density: 9.62 Mg/m³
# - ΔE to the lowest computed polymorph: 48 meV/atom
# - Crystal system: orthorhombic
# - Electronic total energy: -6.632 eV per atom
# - DOS at the Fermi energy: 0.580 states/eV per atom